Computed, not measured: a relaxed structure of Ta2Al2Ru at the PBE-GGA level of DFT.

Calculated values
density of states at the Fermi level = 0.793 states/eV/atom
raw total energy = -82.7 eV for the cell shown
total magnetization = 0.00 μB/cell

Structure (POSCAR):
```
Ta2Al2Ru
1.0
-2.332 -1.046 -5.868
3.452 -5.374 -0.414
-3.010 -2.054 1.562
Ru Al Ta
2 4 4
Direct
0.000 0.000 0.000 Ru
0.500 0.500 0.000 Ru
0.360 0.860 0.000 Al
0.860 0.640 0.000 Al
0.640 0.140 0.000 Al
0.140 0.360 0.000 Al
0.164 0.664 0.500 Ta
0.664 0.836 0.500 Ta
0.836 0.336 0.500 Ta
0.336 0.164 0.500 Ta
```